BaFeSi4O10 | the Alexandria database | GGA-PBEsol | relaxed; relative energy among the computed polymorphs = 0 meV per atom; ΔE_f (raw) = -2613 meV/atom; crystal system = tetragonal
1.0
7.526 0.000 0.000
0.000 7.526 0.000
0.000 0.000 16.261
Ba Fe Si O
4 4 16 40
direct
0.250 0.750 0.000 Ba
0.250 0.750 0.500 Ba
0.750 0.250 0.000 Ba
0.750 0.250 0.500 Ba
0.250 0.250 0.091 Fe
0.250 0.250 0.591 Fe
0.750 0.750 0.409 Fe
0.750 0.750 0.909 Fe
0.015 0.066 0.346 Si
0.015 0.434 0.846 Si
0.066 0.015 0.846 Si
0.066 0.485 0.346 Si
0.434 0.015 0.346 Si
0.434 0.485 0.846 Si
0.485 0.066 0.846 Si
0.485 0.434 0.346 Si
0.515 0.566 0.654 Si
0.515 0.934 0.154 Si
0.566 0.515 0.154 Si
0.566 0.985 0.654 Si
0.934 0.515 0.654 Si
0.934 0.985 0.154 Si
0.985 0.566 0.154 Si
0.985 0.934 0.654 Si
0.001 0.219 0.864 O
0.001 0.281 0.364 O
0.025 0.118 0.090 O
0.025 0.382 0.590 O
0.030 0.530 0.250 O
0.030 0.970 0.750 O
0.118 0.025 0.590 O
0.118 0.475 0.090 O
0.219 0.001 0.364 O
0.219 0.499 0.864 O
0.281 0.001 0.864 O
0.281 0.499 0.364 O
0.382 0.025 0.090 O
0.382 0.475 0.590 O
0.470 0.530 0.750 O
0.470 0.970 0.250 O
0.475 0.118 0.590 O
0.475 0.382 0.090 O
0.499 0.219 0.364 O
0.499 0.281 0.864 O
0.501 0.719 0.136 O
0.501 0.781 0.636 O
0.525 0.618 0.910 O
0.525 0.882 0.410 O
0.530 0.030 0.750 O
0.530 0.470 0.250 O
0.618 0.525 0.410 O
0.618 0.975 0.910 O
0.719 0.501 0.636 O
0.719 0.999 0.136 O
0.781 0.501 0.136 O
0.781 0.999 0.636 O
0.882 0.525 0.910 O
0.882 0.975 0.410 O
0.970 0.030 0.250 O
0.970 0.470 0.750 O
0.975 0.618 0.410 O
0.975 0.882 0.910 O
0.999 0.719 0.636 O
0.999 0.781 0.136 O